Material: ScIrAu
Method: DFT, PBE-GGA
State: optimized geometry

a = 3.3228 Å, b = 4.1428 Å, c = 4.4069 Å
α = 90.00°, β = 90.00°, γ = 90.00°
Last column: nearest neighbours and their distance in Å.
Space group Pmmm (No. 47)
Symmetry-distinct sites (fractional):
Sc 0.0000 0.0000 0.0000 x1  4 Ir 2.66
Ir 0.5000 0.5000 0.0000 x1  4 Sc 2.66, 4 Au 2.76
Au 0.0000 0.5000 0.5000 x1  4 Ir 2.76, 4 Sc 3.02

DFT formation energy = -382 meV/atom
distance to the lowest polymorph of the same formula = 154 meV per atom
size of the total moment = 0.00 Bohr magnetons per cell